1.
A relaxed Sr2WCl crystal, computed with PBE.

Cell: 8.253 8.253 7.145 Å, 54.72 54.72 90.00°
Site moments in Bohr magnetons follow the coordinates.
Element x y z (fractional)
Sr 0.592 0.125 0.250  0.06
Sr 0.158 0.625 0.250  0.06
Sr 0.375 0.408 0.750  0.06
Sr 0.875 0.842 0.750  0.05
W 0.000 0.000 0.000  2.84
W 0.750 0.250 0.500  2.84
Cl 0.500 0.500 0.000  0.03
Cl 0.250 0.750 0.500  0.03

***

2.
A relaxed Sr2WCl crystal, computed with PBE.

Cell: 3.810 3.810 9.510 Å, 81.90 81.90 52.45°
Site moments in Bohr magnetons follow the coordinates.
Element x y z (fractional)
Cl 0.250 0.250 0.250  0.00
Sr 0.988 0.988 0.006  0.02
Sr 0.512 0.512 0.494  0.02
W 0.750 0.750 0.750  0.64

***

3.
A relaxed Sr2W2Cl crystal, computed with PBE.

Cell: 9.110 9.110 3.678 Å, 90.00 90.00 90.00°
Element x y z (fractional)
Sr 0.197 0.697 0.500
Sr 0.697 0.803 0.500
Sr 0.803 0.303 0.500
Sr 0.303 0.197 0.500
W 0.416 0.916 0.000
W 0.916 0.584 0.000
W 0.584 0.084 0.000
W 0.084 0.416 0.000
Cl 0.000 0.000 0.000
Cl 0.500 0.500 0.000

***

4.
A relaxed SrWCl2 crystal, computed with PBE.

Cell: 4.932 4.932 4.932 Å, 60.00 60.00 60.00°
Element x y z (fractional)
Sr 0.000 0.000 0.000
W 0.500 0.500 0.500
Cl 0.250 0.250 0.250
Cl 0.750 0.750 0.750

***

5.
A relaxed SrWCl2 crystal, computed with PBE.

Cell: 5.344 5.344 5.344 Å, 60.00 60.00 60.00°
Site moments in Bohr magnetons follow the coordinates.
Element x y z (fractional)
Sr 0.500 0.500 0.500  0.20
W 0.750 0.750 0.750  3.68
Cl 0.000 0.000 0.000  0.15
Cl 0.250 0.250 0.250  0.10

***

6.
A relaxed SrWCl2 crystal, computed with PBE.

Cell: 9.385 9.385 9.385 Å, 20.07 20.07 20.07°
Element x y z (fractional)
Sr 0.500 0.500 0.500
W 0.000 0.000 0.000
Cl 0.913 0.913 0.913
Cl 0.087 0.087 0.087

***

Number 1: total magnetization 4.34 μB/f.u., total DFT energy (no corrections) -4.055 eV per atom. Number 2: total magnetization 0.84 μB/f.u., total DFT energy (no corrections) -4.429 eV per atom. Number 3: total magnetization 0.00 μB/f.u., total DFT energy (no corrections) -5.496 eV per atom. Number 4: total magnetization 0.00 μB/f.u., total DFT energy (no corrections) -4.157 eV per atom. Number 5: total magnetization 5.99 μB/f.u., total DFT energy (no corrections) -4.183 eV per atom. Number 6: total magnetization 0.00 μB/f.u., total DFT energy (no corrections) -4.675 eV per atom.